Below is a relaxed structure of Pr3CuSi6Pd2, with properties calculated at the PBE-GGA level.

Summary:
- Uncorrected formation energy: -0.379 eV per atom
- VASP energy: -65.9 eV for the cell shown
- Calculated density: 5.939 g cm⁻³

Geometry as POSCAR:
```
Pr3CuSi6Pd2
1.0
-1.7739 -1.7391 -5.2927
5.0269 -2.0122 2.2057
-4.0094 -6.2810 3.4076
Si Cu Pr Pd
6 1 3 2
Direct
0.1931 0.3862 0.2894
0.3862 0.1931 0.7106
0.1931 0.8069 0.2894
0.6138 0.8069 0.2894
0.8069 0.6138 0.7106
0.8069 0.1931 0.7106
0.0000 0.0000 0.5000
0.6667 0.3333 0.3729
0.0000 0.0000 0.0000
0.3333 0.6667 0.6271
0.3333 0.6667 0.0381
0.6667 0.3333 0.9619
```

=====

Below is a relaxed structure of TiNb2AgF, with properties calculated at the PBE-GGA level.

Summary:
- Uncorrected formation energy: 0.393 eV per atom
- VASP energy: -30.8 eV for the cell shown
- Calculated density: 6.374 g cm⁻³

Geometry as POSCAR:
```
TiNb2AgF
1.0
4.9329 0.0000 0.0000
0.0000 4.9329 0.0000
0.0000 0.0000 3.8601
Nb Ag F Ti
2 1 1 1
Direct
0.0000 0.5000 0.0000
0.5000 0.0000 0.0000
0.5000 0.5000 0.5000
0.0000 0.0000 0.5000
0.0000 0.0000 0.0000
```

=====

Below is a relaxed structure of CaZrCl2, with properties calculated at the PBE-GGA level.

Summary:
- E above lowest polymorph: 68 meV per atom
- Uncorrected formation energy: -1.106 eV per atom
- VASP energy: -18.7 eV for the cell shown
- Calculated density: 3.038 g cm⁻³

Geometry as POSCAR:
```
CaZrCl2
1.0
10.0618 0.0914 -0.0026
8.8966 4.7009 0.0026
-9.4813 -2.3878 2.3773
Cl Ca Zr
2 1 1
Direct
0.0243 0.0243 0.0000
0.7252 0.2252 0.5000
0.2990 0.7990 0.5000
0.4514 0.4514 0.0000
```

=====

Below is a relaxed structure of PmSm4Rh4, with properties calculated at the PBE-GGA level.

Summary:
- Calculated formation energy: -0.59 eV/atom
- VASP energy: -116.7 eV for the cell shown
- Calculated density: 8.361 g cm⁻³

Geometry as POSCAR:
```
PmSm4Rh4
1.0
-4.5048 -2.1400 -2.8281
4.5150 -7.6008 -1.4402
-3.2117 -3.3587 7.6573
Rh Sm Pm
8 8 2
Direct
0.9083 0.7201 0.1241
0.4083 0.6241 0.7799
0.5917 0.7799 0.3759
0.9083 0.2799 0.8759
0.0917 0.1241 0.2799
0.5917 0.2201 0.6241
0.4083 0.3759 0.2201
0.0917 0.8759 0.7201
0.9138 0.5879 0.8164
0.5862 0.9121 0.6836
0.4138 0.6836 0.0879
0.0862 0.1836 0.5879
0.5862 0.0879 0.3164
0.4138 0.3164 0.9121
0.0862 0.8164 0.4121
0.9138 0.4121 0.1836
0.0000 0.0000 0.0000
0.5000 0.5000 0.5000
```

=====

Below is a relaxed structure of Na2Np2TaS6, with properties calculated at the PBE-GGA level.

Summary:
- Uncorrected formation energy: -1.226 eV per atom
- VASP energy: -78.6 eV for the cell shown
- Calculated density: 5.731 g cm⁻³

Geometry as POSCAR:
```
Na2Np2TaS6
1.0
-6.2657 0.8081 1.8942
1.3043 -1.4855 -6.2923
1.2390 -6.4223 2.9450
Na S Np Ta
2 6 2 1
Direct
0.1702 0.8298 0.0000
0.8298 0.1702 0.0000
0.6158 0.9277 0.2822
0.9277 0.6158 0.2822
0.0723 0.3842 0.7178
0.7678 0.7678 0.7194
0.3842 0.0723 0.7178
0.2322 0.2322 0.2806
0.6652 0.3348 0.5000
0.3348 0.6652 0.5000
0.0000 0.0000 0.5000
```

=====

Below is a relaxed structure of TbTmFeNi, with properties calculated at the PBE-GGA level.

Summary:
- Calculated formation energy: -0.11 eV/atom
- VASP energy: -23.8 eV for the cell shown
- Calculated density: 9.974 g cm⁻³

Geometry as POSCAR:
```
TbTmFeNi
1.0
4.7052 0.0000 0.0000
2.3526 4.0748 0.0000
2.3526 1.3583 3.8417
Tb Fe Ni Tm
1 1 1 1
Direct
0.0000 0.0000 0.0000
0.7500 0.7500 0.7500
0.2500 0.2500 0.2500
0.5000 0.5000 0.5000
```